Computed, not measured: a geometry-optimized DyCd2Rh structure at the GGA-PBE level of DFT.

Calculated total energy   -3.787 eV per atom
Formation energy from the elements   -0.341 eV/atom
SG   P4/mmm

a = 5.0393 Å, b = 4.0740 Å, c = 4.0740 Å
α = 90.00°, β = 90.00°, γ = 90.00°
Last column: nearest neighbours and their distance in Å.
Fractional positions:
1 Cd 0.0000 0.0000 0.5000  4 Cd 2.88
2 Cd 0.0000 0.5000 0.0000  4 Cd 2.88
3 Rh 0.5000 0.5000 0.5000  4 Dy 2.88
4 Dy 0.5000 0.0000 0.0000  4 Rh 2.88